[1]
CeGa6Pd | GGA-PBE | optimized geometry

Values from the calculation:
Formation energy from the elements in eV per atom: -0.483
E_tot in eV/cell: -33.15

a b c (Å): 4.373 4.373 7.931
angles (deg): 90.00 90.00 90.00
Element x y z (fractional)
Ce1 0.000 0.000 0.000
Ga1 0.000 0.500 0.326
Ga2 0.000 0.500 0.674
Ga3 0.500 0.000 0.326
Ga4 0.500 0.000 0.674
Ga5 0.500 0.500 0.150
Ga6 0.500 0.500 0.850
Pd1 0.000 0.000 0.500

[2]
Ce3Ga4Pd4 | GGA-PBE | optimized geometry

Values from the calculation:
Formation energy from the elements in eV per atom: -0.752
E_tot in eV/cell: -58.95

a b c (Å): 8.295 8.295 8.295
angles (deg): 150.42 128.72 60.32
Element x y z (fractional)
Ce1 0.000 0.000 0.000
Ce2 0.371 0.871 0.500
Ce3 0.629 0.129 0.500
Ga1 0.215 0.215 0.000
Ga2 0.314 0.500 0.814
Ga3 0.686 0.500 0.186
Ga4 0.785 0.785 0.000
Pd1 0.028 0.325 0.702
Pd2 0.377 0.675 0.702
Pd3 0.623 0.325 0.298
Pd4 0.972 0.675 0.298

[3]
Ce11Ga9Pd4 | GGA-PBE | optimized geometry

Values from the calculation:
Formation energy from the elements in eV per atom: -0.610
E_tot in eV/cell: -127.92

a b c (Å): 12.351 12.351 3.892
angles (deg): 90.00 90.00 113.15
Element x y z (fractional)
Ce1 0.000 0.000 0.000
Ce2 0.049 0.413 0.000
Ce3 0.161 0.839 0.000
Ce4 0.297 0.297 0.000
Ce5 0.369 0.631 0.000
Ce6 0.413 0.049 0.000
Ce7 0.587 0.951 0.000
Ce8 0.631 0.369 0.000
Ce9 0.703 0.703 0.000
Ce10 0.839 0.161 0.000
Ce11 0.951 0.587 0.000
Ga1 0.070 0.219 0.500
Ga2 0.167 0.632 0.500
Ga3 0.219 0.070 0.500
Ga4 0.368 0.833 0.500
Ga5 0.500 0.500 0.500
Ga6 0.632 0.167 0.500
Ga7 0.781 0.930 0.500
Ga8 0.833 0.368 0.500
Ga9 0.930 0.781 0.500
Pd1 0.243 0.445 0.500
Pd2 0.445 0.243 0.500
Pd3 0.555 0.757 0.500
Pd4 0.757 0.555 0.500

[4]
CeGaPd4 | GGA-PBE | optimized geometry

Values from the calculation:
Formation energy from the elements in eV per atom: -0.607
E_tot in eV/cell: -66.74

a b c (Å): 8.835 8.835 5.552
angles (deg): 108.26 108.26 30.87
Element x y z (fractional)
Ce1 0.250 0.250 0.191
Ce2 0.750 0.750 0.809
Ga1 0.000 0.000 0.500
Ga2 0.500 0.500 0.000
Pd1 0.080 0.080 0.979
Pd2 0.156 0.156 0.557
Pd3 0.343 0.343 0.744
Pd4 0.419 0.419 0.318
Pd5 0.581 0.581 0.682
Pd6 0.657 0.657 0.256
Pd7 0.844 0.844 0.443
Pd8 0.920 0.920 0.021

[5]
CeGa4Pd2 | GGA-PBE | optimized geometry

Values from the calculation:
Formation energy from the elements in eV per atom: -0.681
E_tot in eV/cell: -132.77

a b c (Å): 17.330 4.432 6.578
angles (deg): 90.00 90.00 90.00
Element x y z (fractional)
Ce1 0.139 0.250 0.007
Ce2 0.361 0.750 0.507
Ce3 0.639 0.250 0.493
Ce4 0.861 0.750 0.993
Ga1 0.037 0.750 0.830
Ga2 0.071 0.250 0.484
Ga3 0.183 0.750 0.315
Ga4 0.189 0.750 0.717
Ga5 0.311 0.250 0.217
Ga6 0.317 0.250 0.815
Ga7 0.429 0.750 0.984
Ga8 0.463 0.250 0.330
Ga9 0.537 0.750 0.670
Ga10 0.571 0.250 0.016
Ga11 0.683 0.750 0.185
Ga12 0.689 0.750 0.783
Ga13 0.811 0.250 0.283
Ga14 0.817 0.250 0.685
Ga15 0.929 0.750 0.516
Ga16 0.963 0.250 0.170
Pd1 0.035 0.750 0.242
Pd2 0.216 0.250 0.520
Pd3 0.284 0.750 0.020
Pd4 0.465 0.250 0.742
Pd5 0.535 0.750 0.258
Pd6 0.716 0.250 0.980
Pd7 0.784 0.750 0.480
Pd8 0.965 0.250 0.758

[6]
Ce3Ga2Pd7 | GGA-PBE | optimized geometry

Values from the calculation:
Formation energy from the elements in eV per atom: -0.751
E_tot in eV/cell: -69.22

a b c (Å): 14.051 14.051 4.038
angles (deg): 90.00 90.00 162.85
Element x y z (fractional)
Ce1 0.000 0.000 0.000
Ce2 0.182 0.818 0.000
Ce3 0.818 0.182 0.000
Ga1 0.372 0.628 0.500
Ga2 0.628 0.372 0.500
Pd1 0.077 0.923 0.500
Pd2 0.282 0.718 0.500
Pd3 0.425 0.575 0.000
Pd4 0.500 0.500 0.500
Pd5 0.575 0.425 0.000
Pd6 0.718 0.282 0.500
Pd7 0.923 0.077 0.500

[7]
Ce2GaPd6 | GGA-PBE | optimized geometry

Values from the calculation:
Formation energy from the elements in eV per atom: -0.758
E_tot in eV/cell: -52.87

a b c (Å): 5.739 5.739 5.919
angles (deg): 90.00 90.00 120.00
Element x y z (fractional)
Ce1 0.333 0.667 0.197
Ce2 0.667 0.333 0.803
Ga1 0.000 0.000 0.000
Pd1 0.172 0.345 0.690
Pd2 0.172 0.828 0.690
Pd3 0.345 0.172 0.310
Pd4 0.655 0.828 0.690
Pd5 0.828 0.172 0.310
Pd6 0.828 0.655 0.310

[8]
CeGaPd6 | GGA-PBE | optimized geometry

Values from the calculation:
Formation energy from the elements in eV per atom: -0.287
E_tot in eV/cell: -42.41

a b c (Å): 7.182 7.182 7.182
angles (deg): 44.76 44.76 44.76
Element x y z (fractional)
Ce1 0.000 0.000 0.000
Ga1 0.500 0.500 0.500
Pd1 0.063 0.574 0.574
Pd2 0.426 0.426 0.937
Pd3 0.426 0.937 0.426
Pd4 0.574 0.063 0.574
Pd5 0.574 0.574 0.063
Pd6 0.937 0.426 0.426

[9]
CeGa11Pd | GGA-PBE | optimized geometry

Values from the calculation:
Formation energy from the elements in eV per atom: -0.218
E_tot in eV/cell: -47.25

a b c (Å): 6.640 6.640 7.998
angles (deg): 97.38 97.38 133.43
Element x y z (fractional)
Ce1 0.000 0.000 0.000
Ga1 0.000 0.000 0.500
Ga2 0.000 0.500 0.000
Ga3 0.015 0.370 0.359
Ga4 0.278 0.495 0.775
Ga5 0.370 0.015 0.359
Ga6 0.495 0.278 0.775
Ga7 0.500 0.000 0.000
Ga8 0.505 0.722 0.225
Ga9 0.630 0.985 0.641
Ga10 0.722 0.505 0.225
Ga11 0.985 0.630 0.641
Pd1 0.500 0.500 0.500

[10]
CeGa4Pd15 | GGA-PBE | optimized geometry

Values from the calculation:
Formation energy from the elements in eV per atom: -0.524
E_tot in eV/cell: -106.42

a b c (Å): 4.021 4.021 19.412
angles (deg): 90.00 90.00 90.00
Element x y z (fractional)
Ce1 0.000 0.000 0.000
Ga1 0.000 0.000 0.212
Ga2 0.000 0.000 0.403
Ga3 0.000 0.000 0.597
Ga4 0.000 0.000 0.788
Pd1 0.000 0.500 0.108
Pd2 0.000 0.500 0.305
Pd3 0.000 0.500 0.500
Pd4 0.000 0.500 0.695
Pd5 0.000 0.500 0.892
Pd6 0.500 0.000 0.108
Pd7 0.500 0.000 0.305
Pd8 0.500 0.000 0.500
Pd9 0.500 0.000 0.695
Pd10 0.500 0.000 0.892
Pd11 0.500 0.500 0.000
Pd12 0.500 0.500 0.206
Pd13 0.500 0.500 0.403
Pd14 0.500 0.500 0.597
Pd15 0.500 0.500 0.794

[11]
Ce2GaPd | GGA-PBE | optimized geometry

Values from the calculation:
Formation energy from the elements in eV per atom: -0.557
E_tot in eV/cell: -44.63

a b c (Å): 6.204 6.204 6.204
angles (deg): 119.40 98.83 110.83
Element x y z (fractional)
Ce1 0.283 0.000 0.783
Ce2 0.283 0.500 0.283
Ce3 0.717 0.000 0.217
Ce4 0.717 0.500 0.717
Ga1 0.198 0.448 0.750
Ga2 0.802 0.552 0.250
Pd1 0.196 0.946 0.250
Pd2 0.804 0.054 0.750

[12]
Ce5Ga4Pd | GGA-PBE | optimized geometry

Values from the calculation:
Formation energy from the elements in eV per atom: -0.481
E_tot in eV/cell: -51.78

a b c (Å): 3.817 3.817 16.068
angles (deg): 90.00 90.00 90.00
Element x y z (fractional)
Ce1 0.000 0.000 0.000
Ce2 0.000 0.000 0.206
Ce3 0.000 0.000 0.402
Ce4 0.000 0.000 0.598
Ce5 0.000 0.000 0.794
Ga1 0.500 0.500 0.103
Ga2 0.500 0.500 0.305
Ga3 0.500 0.500 0.695
Ga4 0.500 0.500 0.897
Pd1 0.500 0.500 0.500